# 1
Compound: Ni2PBr
Source: Alexandria
Functional: GGA-PBEsol
Structure: relaxed

The space group is Cm (No. 8) and the conventional cell measures 6.2838, 3.5834 and 5.7574 Å, with angles of 90.00, 98.56 and 90.00 degrees. The inequivalent atoms are Ni at (0.0000, 0.0000, 0.0000), Ni at (0.1307, 0.5000, 0.7436), P at (0.3120, 0.0000, 0.8569) and Br at (0.1007, 0.5000, 0.3390).

As for the raw total energy: -42.33 eV/cell. The spin magnetization comes out at 0.00 μB/f.u. For the energy above the lowest structure with this stoichiometry, the calculation gives 0 kJ/mol of formula units. The calculation puts the uncorrected formation energy at -28.7 kJ/mol of atoms.


# 2
Compound: ReRhBr2
Source: Alexandria
Functional: GGA-PBEsol
Structure: relaxed

The space group is Pmmm (No. 47) and the conventional cell measures 2.8945, 4.3416 and 5.4587 Å, with angles of 90.00, 90.00 and 90.00 degrees. The inequivalent atoms are Re at (0.0000, 0.0000, 0.0000), Rh at (0.5000, 0.0000, 0.5000), Br at (0.0000, 0.5000, 0.5000) and Br at (0.5000, 0.5000, 0.0000).

As for the raw total energy: -20.91 eV/cell. The spin magnetization comes out at 0.52 μB/f.u. For the energy above the lowest structure with this stoichiometry, the calculation gives 166 kJ/mol of formula units. The calculation puts the uncorrected formation energy at 103.8 kJ/mol of atoms.


# 3
Compound: AlOs2Br
Source: Alexandria
Functional: GGA-PBEsol
Structure: relaxed

The space group is R3m (No. 160, hexagonal axes) and the conventional cell measures 2.9030, 2.9030 and 27.9285 Å, with angles of 90.00, 90.00 and 120.00 degrees. The inequivalent atoms are Al at (0.0000, 0.0000, 0.0000), Os at (0.0000, 0.0000, 0.4748), Os at (0.0000, 0.0000, 0.7371) and Br at (0.0000, 0.0000, 0.2651).

As for the raw total energy: -85.48 eV/cell. The spin magnetization comes out at 0.00 μB/f.u. For the energy above the lowest structure with this stoichiometry, the calculation gives 0 kJ/mol of formula units. The calculation puts the uncorrected formation energy at 45.9 kJ/mol of atoms.


- Among the records above, which one has the highest raw total energy?
  ReRhBr2


- Which value of uncorrected formation energy does entry 1 give?
  -28.7 kJ/mol of atoms


Copy entry 2 word for word.
Compound: ReRhBr2
Source: Alexandria
Functional: GGA-PBEsol
Structure: relaxed

The space group is Pmmm (No. 47) and the conventional cell measures 2.8945, 4.3416 and 5.4587 Å, with angles of 90.00, 90.00 and 90.00 degrees. The inequivalent atoms are Re at (0.0000, 0.0000, 0.0000), Rh at (0.5000, 0.0000, 0.5000), Br at (0.0000, 0.5000, 0.5000) and Br at (0.5000, 0.5000, 0.0000).

As for the raw total energy: -20.91 eV/cell. The spin magnetization comes out at 0.52 μB/f.u. For the energy above the lowest structure with this stoichiometry, the calculation gives 166 kJ/mol of formula units. The calculation puts the uncorrected formation energy at 103.8 kJ/mol of atoms.